[1]
Computed, not measured: RbTh after structural relaxation at the PBE level of DFT.

a b c (Å): 6.992 6.992 6.992
angles (deg): 90.00 90.00 90.00
Sites, in units of the cell vectors:
Rb (0.000, 0.000, 0.000)
Rb (0.000, 0.500, 0.500)
Rb (0.500, 0.000, 0.500)
Rb (0.500, 0.500, 0.000)
Th (0.000, 0.000, 0.500)
Th (0.000, 0.500, 0.000)
Th (0.500, 0.000, 0.000)
Th (0.500, 0.500, 0.500)

## Properties
* electronic total energy: -2.174 eV/atom
* symmetry: Fm-3m (225)

***

[2]
Computed, not measured: ZnTeNO after structural relaxation at the PBE level of DFT.

a b c (Å): 3.679 3.679 7.838
angles (deg): 90.00 90.00 90.00
Sites, in units of the cell vectors:
Zn (0.250, 0.750, 0.000)
Zn (0.750, 0.250, 0.000)
Te (0.250, 0.250, 0.329)
Te (0.750, 0.750, 0.671)
N (0.250, 0.250, 0.855)
N (0.750, 0.750, 0.145)
O (0.250, 0.750, 0.500)
O (0.750, 0.250, 0.500)

## Properties
* electronic total energy: -4.031 eV/atom
* symmetry: P4/nmm (129)

***

[3]
Computed, not measured: ScNbTl2 after structural relaxation at the PBE level of DFT.

a b c (Å): 7.208 7.208 7.208
angles (deg): 90.00 90.00 90.00
Sites, in units of the cell vectors:
Sc (0.000, 0.000, 0.000)
Sc (0.000, 0.500, 0.500)
Sc (0.500, 0.000, 0.500)
Sc (0.500, 0.500, 0.000)
Nb (0.250, 0.250, 0.750)
Nb (0.250, 0.750, 0.250)
Nb (0.750, 0.250, 0.250)
Nb (0.750, 0.750, 0.750)
Tl (0.000, 0.000, 0.500)
Tl (0.000, 0.500, 0.000)
Tl (0.250, 0.250, 0.250)
Tl (0.250, 0.750, 0.750)
Tl (0.500, 0.000, 0.000)
Tl (0.500, 0.500, 0.500)
Tl (0.750, 0.250, 0.750)
Tl (0.750, 0.750, 0.250)

## Properties
* electronic total energy: -4.726 eV/atom
* symmetry: F-43m (216)

***

[4]
Computed, not measured: TaTcNiGe after structural relaxation at the PBE level of DFT.

a b c (Å): 6.152 6.152 6.152
angles (deg): 90.00 90.00 90.00
Sites, in units of the cell vectors:
Ta (0.000, 0.000, 0.000)
Ta (0.000, 0.500, 0.500)
Ta (0.500, 0.000, 0.500)
Ta (0.500, 0.500, 0.000)
Tc (0.250, 0.250, 0.250)
Tc (0.250, 0.750, 0.750)
Tc (0.750, 0.250, 0.750)
Tc (0.750, 0.750, 0.250)
Ni (0.250, 0.250, 0.750)
Ni (0.250, 0.750, 0.250)
Ni (0.750, 0.250, 0.250)
Ni (0.750, 0.750, 0.750)
Ge (0.000, 0.000, 0.500)
Ge (0.000, 0.500, 0.000)
Ge (0.500, 0.000, 0.000)
Ge (0.500, 0.500, 0.500)

## Properties
* electronic total energy: -8.246 eV/atom
* symmetry: F-43m (216)

***

[5]
Computed, not measured: Er2TmZn3NiIr2 after structural relaxation at the PBE level of DFT.

a b c (Å): 3.811 7.064 7.064
angles (deg): 119.93 90.00 90.00
Sites, in units of the cell vectors:
Er (0.000, 0.203, 0.797)
Er (0.000, 0.797, 0.203)
Tm (0.000, 0.608, 0.608)
Zn (0.500, 0.203, 0.444)
Zn (0.500, 0.444, 0.203)
Zn (0.500, 0.962, 0.962)
Ni (0.000, 0.203, 0.203)
Ir (0.500, 0.536, 0.868)
Ir (0.500, 0.868, 0.536)

## Properties
* formation enthalpy at 0 K: -0.66 eV per atom
* symmetry: Amm2 (38)

***

[6]
Computed, not measured: SrSiGeIr2 after structural relaxation at the PBE level of DFT.

a b c (Å): 4.274 4.274 10.106
angles (deg): 90.00 90.00 90.00
Sites, in units of the cell vectors:
Sr (0.250, 0.250, 0.250)
Sr (0.750, 0.750, 0.750)
Si (0.250, 0.250, 0.622)
Si (0.750, 0.750, 0.378)
Ge (0.250, 0.750, 0.000)
Ge (0.750, 0.250, 0.000)
Ir (0.250, 0.250, 0.865)
Ir (0.250, 0.750, 0.500)
Ir (0.750, 0.250, 0.500)
Ir (0.750, 0.750, 0.135)

## Properties
* electronic total energy: -6.607 eV/atom
* symmetry: P4/nmm (129)